Entry 1:
Material: AcLaCeCo2
Method: DFT, PBE
State: optimized geometry

Values from the calculation:
V = 26.30 Å³ per atom
SG = C2/m, No. 12
magnetic moment = 0.00 μB per atom
total energy = -5.93 eV per atom

CIF file:
```
data_AcLaCeCo2
_symmetry_space_group_name_H-M 'P 1'
_symmetry_Int_Tables_number 1
_cell_length_a 4.002
_cell_length_b 8.990
_cell_length_c 7.769
_cell_angle_alpha 84.30
_cell_angle_beta 75.08
_cell_angle_gamma 77.14
loop_
_symmetry_equiv_pos_as_xyz
'x,y,z'
loop_
_atom_site_label
_atom_site_type_symbol
_atom_site_fract_x
_atom_site_fract_y
_atom_site_fract_z
Ac1 Ac 0.842 0.704 0.611
Ac2 Ac 0.158 0.296 0.389
La1 La 0.397 0.350 0.857
La2 La 0.603 0.650 0.143
Ce1 Ce 0.109 0.006 0.775
Ce2 Ce 0.891 0.994 0.225
Co1 Co 0.334 0.918 0.414
Co2 Co 0.666 0.082 0.586
Co3 Co 0.849 0.228 0.074
Co4 Co 0.151 0.772 0.926
```

***

Entry 2:
Material: AcCeNdCo2
Method: DFT, PBE
State: optimized geometry

Values from the calculation:
V = 25.80 Å³ per atom
SG = C2/m, No. 12
magnetic moment = 0.00 μB per atom
total energy = -5.88 eV per atom

CIF file:
```
data_AcCeNdCo2
_symmetry_space_group_name_H-M 'P 1'
_symmetry_Int_Tables_number 1
_cell_length_a 3.975
_cell_length_b 8.859
_cell_length_c 7.780
_cell_angle_alpha 84.90
_cell_angle_beta 75.20
_cell_angle_gamma 77.04
loop_
_symmetry_equiv_pos_as_xyz
'x,y,z'
loop_
_atom_site_label
_atom_site_type_symbol
_atom_site_fract_x
_atom_site_fract_y
_atom_site_fract_z
Ac1 Ac 0.846 0.702 0.607
Ac2 Ac 0.154 0.298 0.393
Ce1 Ce 0.108 0.007 0.777
Ce2 Ce 0.892 0.993 0.223
Nd1 Nd 0.395 0.355 0.855
Nd2 Nd 0.605 0.645 0.145
Co1 Co 0.336 0.916 0.411
Co2 Co 0.664 0.084 0.589
Co3 Co 0.845 0.228 0.082
Co4 Co 0.155 0.772 0.918
```

***

Entry 3:
Material: Ac2Ce2CoPb2
Method: DFT, PBE
State: optimized geometry

Values from the calculation:
V = 32.25 Å³ per atom
SG = I4/mmm, No. 139
magnetic moment = 0.04 μB per atom
total energy = -5.43 eV per atom

CIF file:
```
data_Ac2Ce2CoPb2
_symmetry_space_group_name_H-M 'P 1'
_symmetry_Int_Tables_number 1
_cell_length_a 4.996
_cell_length_b 4.996
_cell_length_c 9.710
_cell_angle_alpha 104.91
_cell_angle_beta 104.91
_cell_angle_gamma 90.00
loop_
_symmetry_equiv_pos_as_xyz
'x,y,z'
loop_
_atom_site_label
_atom_site_type_symbol
_atom_site_fract_x
_atom_site_fract_y
_atom_site_fract_z
Ac1 Ac 0.173 0.173 0.347
Ac2 Ac 0.827 0.827 0.653
Ce1 Ce 0.000 0.500 0.000
Ce2 Ce 0.500 0.000 0.000
Co1 Co 0.000 0.000 0.000
Pb1 Pb 0.368 0.368 0.736
Pb2 Pb 0.632 0.632 0.264
```

***

Entry 4:
Material: AcCeSmCo2
Method: DFT, PBE
State: optimized geometry

Values from the calculation:
V = 25.42 Å³ per atom
SG = C2/m, No. 12
magnetic moment = 0.00 μB per atom
total energy = -5.87 eV per atom

CIF file:
```
data_AcCeSmCo2
_symmetry_space_group_name_H-M 'P 1'
_symmetry_Int_Tables_number 1
_cell_length_a 3.983
_cell_length_b 8.714
_cell_length_c 7.786
_cell_angle_alpha 84.86
_cell_angle_beta 75.18
_cell_angle_gamma 76.79
loop_
_symmetry_equiv_pos_as_xyz
'x,y,z'
loop_
_atom_site_label
_atom_site_type_symbol
_atom_site_fract_x
_atom_site_fract_y
_atom_site_fract_z
Ac1 Ac 0.847 0.701 0.606
Ac2 Ac 0.153 0.299 0.394
Ce1 Ce 0.107 0.007 0.779
Ce2 Ce 0.893 0.993 0.221
Sm1 Sm 0.393 0.357 0.858
Sm2 Sm 0.607 0.643 0.142
Co1 Co 0.338 0.915 0.409
Co2 Co 0.662 0.085 0.591
Co3 Co 0.842 0.234 0.082
Co4 Co 0.158 0.766 0.918
```

***

Entry 5:
Material: Ac4Ce3CrN8
Method: DFT, PBE
State: optimized geometry

Values from the calculation:
V = 17.26 Å³ per atom
SG = R-3m, No. 166
magnetic moment = 0.15 μB per atom
total energy = -7.90 eV per atom

CIF file:
```
data_Ac4Ce3CrN8
_symmetry_space_group_name_H-M 'P 1'
_symmetry_Int_Tables_number 1
_cell_length_a 7.259
_cell_length_b 7.360
_cell_length_c 7.260
_cell_angle_alpha 119.55
_cell_angle_beta 119.99
_cell_angle_gamma 90.00
loop_
_symmetry_equiv_pos_as_xyz
'x,y,z'
loop_
_atom_site_label
_atom_site_type_symbol
_atom_site_fract_x
_atom_site_fract_y
_atom_site_fract_z
Ac1 Ac 0.500 0.000 0.000
Ac2 Ac 0.500 0.000 0.500
Ac3 Ac 0.000 0.000 0.000
Ac4 Ac 0.000 0.000 0.500
Ce1 Ce 0.500 0.500 0.000
Ce2 Ce 0.500 0.500 0.500
Ce3 Ce 0.000 0.500 0.500
Cr1 Cr 0.000 0.500 0.000
N1 N 0.233 0.711 0.978
N2 N 0.234 0.711 0.467
N3 N 0.263 0.289 0.526
N4 N 0.745 0.711 0.978
N5 N 0.255 0.289 0.022
N6 N 0.737 0.711 0.474
N7 N 0.766 0.289 0.533
N8 N 0.767 0.289 0.022
```

***

Entry 6:
Material: Ac2CeCr2N6
Method: DFT, PBE
State: optimized geometry

Values from the calculation:
V = 16.15 Å³ per atom
SG = R-3m, No. 166
magnetic moment = 0.01 μB per atom
total energy = -8.49 eV per atom

CIF file:
```
data_Ac2CeCr2N6
_symmetry_space_group_name_H-M 'P 1'
_symmetry_Int_Tables_number 1
_cell_length_a 5.791
_cell_length_b 5.791
_cell_length_c 6.972
_cell_angle_alpha 65.46
_cell_angle_beta 65.46
_cell_angle_gamma 60.00
loop_
_symmetry_equiv_pos_as_xyz
'x,y,z'
loop_
_atom_site_label
_atom_site_type_symbol
_atom_site_fract_x
_atom_site_fract_y
_atom_site_fract_z
Ac1 Ac 0.788 0.788 0.636
Ac2 Ac 0.212 0.212 0.364
Ce1 Ce 0.000 0.000 0.000
Cr1 Cr 0.406 0.406 0.783
Cr2 Cr 0.594 0.594 0.217
N1 N 0.741 0.741 0.277
N2 N 0.242 0.741 0.277
N3 N 0.741 0.242 0.277
N4 N 0.259 0.758 0.723
N5 N 0.758 0.259 0.723
N6 N 0.259 0.259 0.723
```

***

Entry 7:
Material: AcCe2Cr2N6
Method: DFT, PBE
State: optimized geometry

Values from the calculation:
V = 16.20 Å³ per atom
SG = R-3m, No. 166
magnetic moment = 0.13 μB per atom
total energy = -8.52 eV per atom

CIF file:
```
data_AcCe2Cr2N6
_symmetry_space_group_name_H-M 'P 1'
_symmetry_Int_Tables_number 1
_cell_length_a 5.577
_cell_length_b 5.577
_cell_length_c 7.357
_cell_angle_alpha 67.73
_cell_angle_beta 67.73
_cell_angle_gamma 60.00
loop_
_symmetry_equiv_pos_as_xyz
'x,y,z'
loop_
_atom_site_label
_atom_site_type_symbol
_atom_site_fract_x
_atom_site_fract_y
_atom_site_fract_z
Ac1 Ac 0.000 0.000 0.000
Ce1 Ce 0.800 0.800 0.601
Ce2 Ce 0.200 0.200 0.399
Cr1 Cr 0.412 0.412 0.763
Cr2 Cr 0.588 0.588 0.237
N1 N 0.729 0.729 0.314
N2 N 0.227 0.729 0.314
N3 N 0.729 0.227 0.314
N4 N 0.271 0.773 0.686
N5 N 0.773 0.271 0.686
N6 N 0.271 0.271 0.686
```

***

Entry 8:
Material: AcCeCrN3
Method: DFT, PBE
State: optimized geometry

Values from the calculation:
V = 14.76 Å³ per atom
SG = C2/m, No. 12
magnetic moment = 0.00 μB per atom
total energy = -8.54 eV per atom

CIF file:
```
data_AcCeCrN3
_symmetry_space_group_name_H-M 'P 1'
_symmetry_Int_Tables_number 1
_cell_length_a 3.787
_cell_length_b 7.003
_cell_length_c 7.200
_cell_angle_alpha 104.92
_cell_angle_beta 90.00
_cell_angle_gamma 105.69
loop_
_symmetry_equiv_pos_as_xyz
'x,y,z'
loop_
_atom_site_label
_atom_site_type_symbol
_atom_site_fract_x
_atom_site_fract_y
_atom_site_fract_z
Ac1 Ac 0.362 0.724 0.931
Ac2 Ac 0.638 0.276 0.069
Ce1 Ce 0.654 0.309 0.577
Ce2 Ce 0.346 0.691 0.423
Cr1 Cr 0.000 0.000 0.321
Cr2 Cr 0.000 0.000 0.679
N1 N 0.840 0.681 0.195
N2 N 0.843 0.685 0.647
N3 N 0.500 0.000 0.293
N4 N 0.157 0.315 0.353
N5 N 0.500 0.000 0.707
N6 N 0.160 0.319 0.805
```